# HgAsCl2 (PBE, optimized geometry)
# Crystal system: tetragonal
# Offset from the most stable computed form in meV per atom: 478
# Formation energy (no corrections) in eV/atom: 0.1805
# DFT total energy in eV/cell: -15.8
data_HgAsCl2
_cell_length_a 3.903
_cell_length_b 3.903
_cell_length_c 13.285
_cell_angle_alpha 90.00
_cell_angle_beta 90.00
_cell_angle_gamma 90.00
_space_group_name_H-M_alt 'I -4 m 2'
_space_group_IT_number 119
_space_group_name_Hall 'I -4 -2'
loop_
_atom_site_label
_atom_site_fract_x
_atom_site_fract_y
_atom_site_fract_z
_atom_site_occupancy
Hg1 0.000 0.000 0.000 1
As1 0.000 0.500 0.750 1
Cl1 0.000 0.000 0.500 1
Cl2 0.000 0.500 0.250 1

=====

# Hg2AsCl (PBE, optimized geometry)
# Crystal system: tetragonal
# Offset from the most stable computed form in meV per atom: 476
# Formation energy (no corrections) in eV/atom: 0.2097
# DFT total energy in eV/cell: -6.3
data_Hg2AsCl
_cell_length_a 3.461
_cell_length_b 3.461
_cell_length_c 8.360
_cell_angle_alpha 90.00
_cell_angle_beta 90.00
_cell_angle_gamma 90.00
_space_group_name_H-M_alt 'P 4 m m'
_space_group_IT_number 99
_space_group_name_Hall 'P 4 -2'
loop_
_atom_site_label
_atom_site_fract_x
_atom_site_fract_y
_atom_site_fract_z
_atom_site_occupancy
Hg1 0.000 0.000 0.000 1
Hg2 0.500 0.500 0.300 1
As1 0.000 0.000 0.489 1
Cl1 0.500 0.500 0.693 1

=====

# Hg2AsCl (PBE, optimized geometry)
# Crystal system: monoclinic
# Offset from the most stable computed form in meV per atom: 409
# Formation energy (no corrections) in eV/atom: 0.1429
# DFT total energy in eV/cell: -13.1
data_Hg2AsCl
_cell_length_a 14.342
_cell_length_b 3.259
_cell_length_c 4.535
_cell_angle_alpha 90.00
_cell_angle_beta 108.21
_cell_angle_gamma 90.00
_space_group_name_H-M_alt 'C 1 2/m 1'
_space_group_IT_number 12
_space_group_name_Hall '-C 2y'
loop_
_atom_site_label
_atom_site_fract_x
_atom_site_fract_y
_atom_site_fract_z
_atom_site_occupancy
Hg1 0.195 0.000 0.196 1
As1 0.000 0.500 0.000 1
Cl1 0.000 0.000 0.500 1

=====

# HgAs2Cl (PBE, optimized geometry)
# Crystal system: orthorhombic
# Offset from the most stable computed form in meV per atom: 297
# Formation energy (no corrections) in eV/atom: 0.1457
# DFT total energy in eV/cell: -21.7
data_HgAs2Cl
_cell_length_a 3.712
_cell_length_b 5.773
_cell_length_c 8.653
_cell_angle_alpha 90.00
_cell_angle_beta 90.00
_cell_angle_gamma 90.00
_space_group_name_H-M_alt 'C m m 2'
_space_group_IT_number 35
_space_group_name_Hall 'C 2 -2'
loop_
_atom_site_label
_atom_site_fract_x
_atom_site_fract_y
_atom_site_fract_z
_atom_site_occupancy
Hg1 0.000 0.000 0.000 1
As1 0.000 0.000 0.476 1
As2 0.000 0.500 0.275 1
Cl1 0.000 0.500 0.768 1

=====

# HgAs2Cl (PBE, optimized geometry)
# Crystal system: monoclinic
# Offset from the most stable computed form in meV per atom: 128
# Formation energy (no corrections) in eV/atom: -0.0226
# DFT total energy in eV/cell: -23.1
data_HgAs2Cl
_cell_length_a 12.042
_cell_length_b 3.646
_cell_length_c 5.132
_cell_angle_alpha 90.00
_cell_angle_beta 92.07
_cell_angle_gamma 90.00
_space_group_name_H-M_alt 'C 1 m 1'
_space_group_IT_number 8
_space_group_name_Hall 'C -2y'
loop_
_atom_site_label
_atom_site_fract_x
_atom_site_fract_y
_atom_site_fract_z
_atom_site_occupancy
Hg1 0.000 0.000 0.000 1
As1 0.047 0.500 0.512 1
As2 0.165 0.000 0.343 1
Cl1 0.308 0.500 0.826 1

=====

# HgAsCl6 (PBE, optimized geometry)
# Crystal system: monoclinic
# Formation energy (no corrections) in eV/atom: -0.4429
# DFT total energy in eV/cell: -39.1
data_HgAsCl6
_cell_length_a 6.436
_cell_length_b 12.153
_cell_length_c 6.401
_cell_angle_alpha 90.00
_cell_angle_beta 109.51
_cell_angle_gamma 90.00
_space_group_name_H-M_alt 'C 1 2/m 1'
_space_group_IT_number 12
_space_group_name_Hall '-C 2y'
loop_
_atom_site_label
_atom_site_fract_x
_atom_site_fract_y
_atom_site_fract_z
_atom_site_occupancy
Hg1 0.000 0.000 0.000 1
As1 0.000 0.500 0.500 1
Cl1 0.226 0.500 0.278 1
Cl2 0.231 0.357 0.735 1